No. 1
First-principles (meta-GGA SCAN) data for a crystal of LaWAu relaxed with PBEsol, as listed in Alexandria.

Geometry as POSCAR:
```
LaWAu
1.0
6.761 0.000 0.000
0.000 6.761 0.000
0.000 0.000 6.761
La W Au
4 4 4
Cartesian
0.000 0.000 0.000 La
0.000 3.380 3.380 La
3.380 0.000 3.380 La
3.380 3.380 0.000 La
1.690 1.690 1.690 W
1.690 5.071 5.071 W
5.071 1.690 5.071 W
5.071 5.071 1.690 W
1.690 1.690 5.071 Au
1.690 5.071 1.690 Au
5.071 1.690 1.690 Au
5.071 5.071 5.071 Au
```

Summary:
- energy (eV per atom) = -59.33
- total magnetization (μB/f.u.) = 3.105

=====

No. 2
First-principles (meta-GGA SCAN) data for a crystal of YZr2Re relaxed with PBEsol, as listed in Alexandria.

Geometry as POSCAR:
```
YZr2Re
1.0
3.425 0.000 0.000
0.000 4.843 0.000
0.000 0.000 10.256
Y Zr Re
2 4 2
Cartesian
0.000 0.000 0.000 Y
1.713 2.421 5.128 Y
0.000 0.000 5.882 Zr
0.000 2.421 8.022 Zr
1.713 0.000 2.894 Zr
1.713 2.421 0.754 Zr
0.000 2.421 2.769 Re
1.713 0.000 7.896 Re
```

Summary:
- energy (eV per atom) = -40.15
- total magnetization (μB/f.u.) = 0.000
- relative energy among the computed polymorphs (meV/atom) = 24

=====

No. 3
First-principles (meta-GGA SCAN) data for a crystal of ZrBe3Pb relaxed with PBEsol, as listed in Alexandria.

Geometry as POSCAR:
```
ZrBe3Pb
1.0
4.501 0.000 0.000
0.000 4.501 0.000
0.000 0.000 4.501
Zr Be Pb
1 3 1
Cartesian
0.000 0.000 0.000 Zr
0.000 2.250 2.250 Be
2.250 0.000 2.250 Be
2.250 2.250 0.000 Be
2.250 2.250 2.250 Pb
```

Summary:
- energy (eV per atom) = -22.75
- total magnetization (μB/f.u.) = 0.000

=====

No. 4
First-principles (meta-GGA SCAN) data for a crystal of Zn3Cu5 relaxed with PBEsol, as listed in Alexandria.

Geometry as POSCAR:
```
Zn3Cu5
1.0
6.962 0.000 0.000
0.000 7.501 0.000
0.000 0.000 3.687
Zn Cu
6 10
Cartesian
0.000 0.000 0.000 Zn
0.000 1.937 1.843 Zn
0.000 5.563 1.843 Zn
3.481 1.813 1.843 Zn
3.481 3.750 0.000 Zn
3.481 5.688 1.843 Zn
0.000 3.750 0.000 Cu
1.723 0.000 1.843 Cu
1.740 1.875 0.000 Cu
1.740 5.625 0.000 Cu
1.758 3.750 1.843 Cu
3.481 0.000 0.000 Cu
5.204 3.750 1.843 Cu
5.221 1.875 0.000 Cu
5.221 5.625 0.000 Cu
5.239 0.000 1.843 Cu
```

Summary:
- energy (eV per atom) = -14.65
- total magnetization (μB/f.u.) = 0.000
- relative energy among the computed polymorphs (meV/atom) = 0

=====

No. 5
First-principles (meta-GGA SCAN) data for a crystal of Cs2CoP4O12 relaxed with PBEsol, as listed in Alexandria.

Geometry as POSCAR:
```
Cs2CoP4O12
1.0
8.476 0.000 0.000
0.000 12.162 0.000
-4.590 0.000 11.946
Cs Co P O
8 4 16 48
Cartesian
-0.821 1.324 3.853 Cs
-3.116 4.758 9.826 Cs
1.985 0.752 0.289 Cs
-0.309 5.330 6.262 Cs
4.195 6.833 5.684 Cs
1.901 11.411 11.657 Cs
7.002 7.405 2.120 Cs
4.707 10.839 8.094 Cs
3.053 8.912 2.270 Co
0.758 9.332 8.243 Co
3.128 2.831 3.703 Co
0.833 3.250 9.676 Co
-3.395 8.911 11.666 P
-1.100 9.332 5.693 P
-1.685 1.772 8.266 P
0.610 4.309 2.293 P
-0.611 8.836 11.105 P
1.683 9.407 5.132 P
0.886 0.515 8.182 P
3.181 5.566 2.209 P
0.705 6.596 9.738 P
3.000 11.647 3.765 P
2.203 2.755 6.814 P
4.498 3.326 0.841 P
3.276 7.853 9.653 P
5.571 10.390 3.680 P
4.986 2.830 6.253 P
7.281 3.251 0.280 P
-2.344 1.807 6.771 O
-0.049 4.274 0.798 O
-1.358 7.957 5.171 O
-3.652 10.287 11.144 O
-2.720 1.400 9.266 O
-0.426 4.682 3.293 O
1.305 8.644 1.193 O
-0.990 9.600 7.166 O
-2.104 8.258 10.914 O
0.190 9.986 4.941 O
-0.713 0.502 7.989 O
1.582 5.579 2.016 O
-0.856 3.018 8.447 O
1.439 3.064 2.474 O
2.029 8.481 4.003 O
-0.266 9.762 9.976 O
0.339 7.322 8.469 O
2.634 10.921 2.496 O
1.349 1.388 6.897 O
3.644 4.693 0.924 O
2.504 0.878 3.945 O
0.210 5.203 9.918 O
-0.254 2.771 11.397 O
2.041 3.310 5.424 O
1.845 8.852 6.522 O
4.140 9.391 0.549 O
3.677 6.959 2.028 O
1.382 11.284 8.001 O
0.242 7.470 11.023 O
2.537 10.774 5.050 O
1.252 1.241 9.450 O
3.547 4.840 3.477 O
4.152 2.400 1.970 O
1.857 3.681 7.943 O
2.447 9.099 9.472 O
4.742 9.145 3.499 O
2.304 6.583 9.930 O
4.599 11.660 3.957 O
3.696 2.176 7.005 O
5.990 3.905 1.032 O
4.876 2.563 4.780 O
2.581 3.519 10.753 O
4.312 7.481 8.653 O
6.606 10.763 2.680 O
7.538 1.875 0.802 O
5.244 4.206 6.775 O
3.935 7.888 11.148 O
6.230 10.355 5.175 O
```

Summary:
- energy (eV per atom) = -13.38
- total magnetization (μB/f.u.) = 3.000
- ΔE_f (raw) (kJ/mol of atoms) = -228.0

=====

No. 6
First-principles (meta-GGA SCAN) data for a crystal of MnSI2 relaxed with PBEsol, as listed in Alexandria.

Geometry as POSCAR:
```
MnSI2
1.0
7.754 0.000 0.000
0.000 7.754 0.000
0.000 0.000 7.408
Mn S I
4 4 8
Cartesian
0.000 0.000 0.000 Mn
0.000 3.877 1.852 Mn
3.877 0.000 5.556 Mn
3.877 3.877 3.704 Mn
0.000 0.000 3.704 S
0.000 3.877 5.556 S
3.877 0.000 1.852 S
3.877 3.877 0.000 S
1.598 1.938 0.926 I
1.938 5.475 2.778 I
1.938 6.156 6.482 I
2.279 1.938 4.630 I
5.475 5.815 4.630 I
5.815 1.598 6.482 I
5.815 2.279 2.778 I
6.156 5.815 0.926 I
```

Summary:
- energy (eV per atom) = -25.21
- total magnetization (μB/f.u.) = 3.000
- ΔE_f (raw) (kJ/mol of atoms) = 12.9

=====

No. 7
First-principles (meta-GGA SCAN) data for a crystal of Pr2ZrS5 relaxed with PBEsol, as listed in Alexandria.

Geometry as POSCAR:
```
Pr2ZrS5
1.0
11.383 0.000 0.000
0.000 8.035 0.000
0.000 0.000 7.291
Pr Zr S
8 4 20
Cartesian
1.976 8.033 0.359 Pr
1.976 4.019 0.359 Pr
3.715 0.002 4.005 Pr
3.715 4.016 4.005 Pr
7.668 8.033 3.286 Pr
7.668 4.019 3.286 Pr
9.407 0.002 6.932 Pr
9.407 4.016 6.932 Pr
0.117 2.009 4.197 Zr
5.574 6.026 0.552 Zr
5.809 2.009 6.739 Zr
11.266 6.026 3.094 Zr
0.051 2.009 6.884 S
0.892 4.317 4.912 S
0.892 7.735 4.912 S
2.157 2.009 2.557 S
2.375 6.026 2.420 S
3.316 2.009 6.065 S
3.535 6.026 6.202 S
4.800 0.300 1.267 S
4.800 3.717 1.267 S
5.641 6.026 3.238 S
5.743 2.009 4.052 S
6.584 4.317 6.024 S
6.584 7.735 6.024 S
7.848 2.009 1.089 S
8.067 6.026 1.226 S
9.008 2.009 4.871 S
9.227 6.026 4.734 S
10.491 0.300 2.379 S
10.491 3.717 2.379 S
11.333 6.026 0.407 S
```

Summary:
- energy (eV per atom) = -22.88
- total magnetization (μB/f.u.) = 0.000
- ΔE_f (raw) (kJ/mol of atoms) = -211.9

=====

No. 8
First-principles (meta-GGA SCAN) data for a crystal of Ca2ScBr relaxed with PBEsol, as listed in Alexandria.

Geometry as POSCAR:
```
Ca2ScBr
1.0
7.881 0.000 0.000
0.000 7.881 0.000
0.000 0.000 7.881
Ca Sc Br
8 4 4
Cartesian
0.000 0.000 0.000 Ca
0.000 3.941 3.941 Ca
1.970 1.970 1.970 Ca
1.970 5.911 5.911 Ca
3.941 0.000 3.941 Ca
3.941 3.941 0.000 Ca
5.911 1.970 5.911 Ca
5.911 5.911 1.970 Ca
0.000 0.000 3.941 Sc
0.000 3.941 0.000 Sc
3.941 0.000 0.000 Sc
3.941 3.941 3.941 Sc
1.970 1.970 5.911 Br
1.970 5.911 1.970 Br
5.911 1.970 1.970 Br
5.911 5.911 5.911 Br
```

Summary:
- energy (eV per atom) = -13.09
- total magnetization (μB/f.u.) = 1.796
- ΔE_f (raw) (kJ/mol of atoms) = 16.4
- relative energy among the computed polymorphs (meV/atom) = 744